# PBE KPa2ZnS5, relaxed
# Magnetization, μB/cell: 10.85
# Calculated total energy, eV/cell: -217.1
data_KPa2ZnS5
_cell_length_a 7.6265
_cell_length_b 7.6265
_cell_length_c 14.0574
_cell_angle_alpha 90.00
_cell_angle_beta 90.00
_cell_angle_gamma 90.00
_space_group_name_H-M_alt 'I 4/m c m'
_space_group_IT_number 140
_space_group_name_Hall '-I 4 2c'
loop_
_atom_site_label
_atom_site_type_symbol
_atom_site_fract_x
_atom_site_fract_y
_atom_site_fract_z
K1 K 0.0000 0.0000 0.2500
Pa1 Pa 0.1590 0.3410 0.0000
Zn1 Zn 0.0000 0.5000 0.2500
S1 S 0.0000 0.0000 0.0000
S2 S 0.1453 0.3547 0.3740